Entry 1:
A relaxed structure of La2HfZn. Source: Alexandria, functional PBE.

Lattice parameters (Å, degrees): 11.784 11.784 11.784 16.00 16.00 16.00
Element x y z (fractional)
1 La 0.091 0.091 0.091
2 La 0.909 0.909 0.909
3 Hf 0.000 0.000 0.000
4 Zn 0.500 0.500 0.500

Properties
D(E_F), states/eV/f.u.: 6.52
Space-group type: No. 166
E_tot, Ry per atom: -0.362
E_form, eV/atom: 0.346


Entry 2:
A relaxed structure of La2HfZn. Source: Alexandria, functional PBE.

Lattice parameters (Å, degrees): 3.509 3.509 8.980 90.00 90.00 90.00
Element x y z (fractional)
1 La 0.000 0.000 0.234
2 La 0.000 0.000 0.766
3 Hf 0.500 0.500 0.500
4 Zn 0.500 0.500 0.000

Properties
D(E_F), states/eV/f.u.: 4.58
Space-group type: No. 123
E_tot, Ry per atom: -0.386
E_form, eV/atom: 0.015


Entry 3:
A relaxed structure of LaHf3Zn. Source: Alexandria, functional PBE.

Lattice parameters (Å, degrees): 5.147 5.147 5.147 90.00 90.00 90.00
Element x y z (fractional)
1 La 0.000 0.000 0.000
2 Hf 0.000 0.000 0.500
3 Hf 0.000 0.500 0.000
4 Hf 0.500 0.000 0.000
5 Zn 0.500 0.500 0.500

Properties
Polymorph energy (0 for the lowest one), kJ per mole of atoms: 101.23
D(E_F), states/eV/f.u.: 11.87
Space-group type: No. 221
E_tot, Ry per atom: -0.410
E_form, eV/atom: 1.629


Entry 4:
A relaxed structure of LaHfZn. Source: Alexandria, functional PBE.

Lattice parameters (Å, degrees): 4.565 4.565 7.358 90.00 90.00 90.00
Element x y z (fractional)
1 La 0.250 0.250 0.148
2 La 0.750 0.750 0.852
3 Hf 0.250 0.750 0.500
4 Hf 0.750 0.250 0.500
5 Zn 0.250 0.250 0.723
6 Zn 0.750 0.750 0.277

Properties
Polymorph energy (0 for the lowest one), kJ per mole of atoms: 0.00
D(E_F), states/eV/f.u.: 3.70
Space-group type: No. 129
E_tot, Ry per atom: -0.402
E_form, eV/atom: -0.086


Entry 5:
A relaxed structure of La2HfZn2. Source: Alexandria, functional PBE.

Lattice parameters (Å, degrees): 8.433 8.433 3.605 90.00 90.00 90.00
Element x y z (fractional)
1 La 0.183 0.317 0.000
2 La 0.317 0.817 0.000
3 La 0.683 0.183 0.000
4 La 0.817 0.683 0.000
5 Hf 0.000 0.000 0.500
6 Hf 0.500 0.500 0.500
7 Zn 0.113 0.613 0.500
8 Zn 0.387 0.113 0.500
9 Zn 0.613 0.887 0.500
10 Zn 0.887 0.387 0.500

Properties
D(E_F), states/eV/f.u.: 7.80
Space-group type: No. 127
E_tot, Ry per atom: -0.328
E_form, eV/atom: 0.004


Entry 6:
A relaxed structure of La2Hf2Zn. Source: Alexandria, functional PBE.

Lattice parameters (Å, degrees): 7.331 7.331 5.032 90.00 90.00 90.00
Element x y z (fractional)
1 La 0.164 0.336 0.000
2 La 0.336 0.836 0.000
3 La 0.664 0.164 0.000
4 La 0.836 0.664 0.000
5 Hf 0.144 0.644 0.500
6 Hf 0.356 0.144 0.500
7 Hf 0.644 0.856 0.500
8 Hf 0.856 0.356 0.500
9 Zn 0.000 0.000 0.500
10 Zn 0.500 0.500 0.500

Properties
D(E_F), states/eV/f.u.: 4.97
Space-group type: No. 127
E_tot, Ry per atom: -0.443
E_form, eV/atom: 0.183